! MnC3Se, single point on PBEsol structure, DFT SCAN; values from VASP
! Electronic total energy (eV/atom): -11.668
! Formation energy (no corrections) (eV/atom): 2.058
! Density (g/cm3): 5.12
&SYSTEM
  ibrav = 0, nat = 5, ntyp = 3
/
ATOMIC_SPECIES
Mn 54.94 Mn.upf
C 12.01 C.upf
Se 78.96 Se.upf
ATOMIC_POSITIONS angstrom
Mn 0.0000 0.0000 0.0000
C 0.0000 0.0000 1.9033
C 0.0000 1.9033 0.0000
C 1.9033 0.0000 0.0000
Se 1.9033 1.9033 1.9033
CELL_PARAMETERS angstrom
3.8067 0.0000 0.0000
0.0000 3.8067 0.0000
0.0000 0.0000 3.8067

---

! Mn20Si12C, single point on PBEsol structure, DFT SCAN; values from VASP
! Electronic total energy (eV/atom): -15.396
! Formation energy (no corrections) (eV/atom): -0.384
! Density (g/cm3): 6.79
&SYSTEM
  ibrav = 0, nat = 33, ntyp = 3
/
ATOMIC_SPECIES
Mn 54.94 Mn.upf
Si 28.09 Si.upf
C 12.01 C.upf
ATOMIC_POSITIONS angstrom
Mn 0.0000 1.9194 0.0000
Mn -0.0029 3.8605 3.3445
Mn -0.0029 7.7316 3.3445
Mn 0.0000 9.6727 0.0000
Mn 1.1230 4.4220 0.7877
Mn 1.1230 7.1701 0.7877
Mn 1.1291 5.7960 5.1212
Mn 1.1415 0.0000 1.7793
Mn 1.1442 1.3736 4.1338
Mn 1.1442 10.2185 4.1338
Mn 2.2826 1.9248 0.0000
Mn 2.2797 3.8696 3.3445
Mn 2.2797 7.7225 3.3445
Mn 2.2826 9.6673 0.0000
Mn 3.4153 1.3736 2.5551
Mn 3.4153 10.2185 2.5551
Mn 3.4179 0.0000 4.9097
Mn 3.4304 5.7960 1.5677
Mn 3.4364 4.4220 5.9013
Mn 3.4364 7.1701 5.9013
Si 1.1329 2.2795 2.0309
Si 1.1329 9.3125 2.0309
Si 1.1369 0.0000 5.9723
Si 1.1449 5.7960 2.6677
Si 1.1514 3.4698 5.3501
Si 1.1514 8.1223 5.3501
Si 3.4081 3.4698 1.3389
Si 3.4081 8.1223 1.3389
Si 3.4145 5.7960 4.0213
Si 3.4226 0.0000 0.7167
Si 3.4266 2.2795 4.6580
Si 3.4266 9.3125 4.6580
C 0.0000 5.7960 0.0000
CELL_PARAMETERS angstrom
4.5652 0.0000 0.0000
0.0000 11.5921 0.0000
-0.0057 0.0000 6.6890